No. 1
A relaxed structure of Fe5Te, computed with PBE.

POSCAR file:
```
Fe5Te
1.0
2.271 -3.933 0.000
2.271 3.933 0.000
0.000 0.000 4.423
Fe Te
5 1
Direct
0.349 0.349 0.000 Fe
0.333 0.667 0.500 Fe
0.667 0.333 0.500 Fe
0.651 0.000 0.000 Fe
0.000 0.651 0.000 Fe
0.000 0.000 0.500 Te
```

Computed properties:
raw formation energy	136	kJ/mol of formula units
final energy	-7.340	eV/atom
theoretical density	8.55	g/cm³
magnetization	11.74	μB/f.u.
energy above the lowest structure with this stoichiometry	55	meV per atom


No. 2
A relaxed structure of Fe4Te, computed with PBE.

POSCAR file:
```
Fe4Te
1.0
-3.122 0.746 -3.367
-2.297 -3.838 1.279
-2.572 2.521 2.944
Fe Te
4 1
Direct
0.000 0.000 0.000 Fe
0.500 0.500 0.000 Fe
0.000 0.500 0.500 Fe
0.500 0.000 0.500 Fe
0.500 0.500 0.500 Te
```

Computed properties:
raw formation energy	699	kJ/mol of formula units
final energy	-5.949	eV/atom
theoretical density	5.79	g/cm³
magnetization	10.51	μB/f.u.


No. 3
A relaxed structure of Fe4Te5, computed with PBE.

POSCAR file:
```
Fe4Te5
1.0
-5.787 1.101 -4.998
4.488 -6.260 -0.604
-4.583 -3.719 4.487
Te Fe
10 8
Direct
0.667 0.333 0.500 Te
0.333 0.667 0.500 Te
0.667 0.333 0.000 Te
0.243 0.000 0.750 Te
0.000 0.757 0.250 Te
0.333 0.667 0.000 Te
0.000 0.243 0.750 Te
0.757 0.000 0.250 Te
0.243 0.243 0.250 Te
0.757 0.757 0.750 Te
0.000 0.413 0.250 Fe
0.413 0.413 0.750 Fe
0.000 0.000 0.500 Fe
0.587 0.587 0.250 Fe
0.587 0.000 0.750 Fe
0.413 0.000 0.250 Fe
0.000 0.587 0.750 Fe
0.000 0.000 0.000 Fe
```

Computed properties:
raw formation energy	348	kJ/mol of formula units
final energy	-5.106	eV/atom
theoretical density	7.46	g/cm³
magnetization	10.64	μB/f.u.
energy above the lowest structure with this stoichiometry	0	meV per atom